Density functional theory data (GGA-PBEsol) for a geometry-optimized Li2LaCd structure.

Summary:
The total energy comes out at -10.905 eV per cell. The calculation puts the energy relative to the elements at -107 meV per atom. The density of states at the Fermi level comes out at 3.02 states/eV per cell.

a = 3.4344 Å, b = 3.4344 Å, c = 7.8892 Å
α = 90.00°, β = 90.00°, γ = 90.00°
Sites, in units of the cell vectors:
Li 0.0000 0.0000 0.0596
Li 0.5000 0.5000 0.2628
La 0.5000 0.5000 0.7322
Cd 0.0000 0.0000 0.4455